A plane-wave DFT calculation with PBE with a Hubbard U was carried out for a relaxed structure of La2CoO4.

## Properties
D(E_F)   2.06 states/eV/f.u.
Size of the total moment   1.665 μB per formula unit
Uncorrected energy   -53.2 eV per formula unit
Symmetry   I4/mmm, No. 139

```
La2CoO4
1.0
3.829 0.000 0.000
0.000 3.829 0.000
-1.915 -1.915 6.426
O La Co
4 2 1
Direct
0.181 0.181 0.362
0.000 0.500 0.000
0.819 0.819 0.638
0.500 0.000 0.000
0.638 0.638 0.275
0.362 0.362 0.725
0.000 0.000 0.000
```